DFT (PBE) results for a geometry-optimized TbNd3Er8 structure.

## Properties
Spin magnetization (μB per formula unit): 0.01
Formation enthalpy at 0 K (kJ/mol of formula units): 737
Volume (Å³/cell): 429.0
SG: I-42m (121)
Density of states at the Fermi level (states/eV/cell): 17.6
Total energy (eV per atom): -3.9834

The structure in extended XYZ format:
```
12
Lattice="-4.359 4.359 5.643 4.359 -4.359 5.643 4.359 4.359 -5.643" Properties=species:S:1:pos:R:3 pbc="T T T"
Tb 0.000 0.000 0.000
Nd 4.359 0.000 2.822
Nd 0.000 0.000 5.643
Nd 0.000 4.359 2.822
Er 3.263 3.263 -2.870
Er 2.137 2.137 -0.110
Er 2.222 -2.222 5.753
Er 1.097 1.097 2.773
Er 1.097 -1.097 8.514
Er 2.222 2.222 5.534
Er -2.222 2.222 5.753
Er -1.097 1.097 8.514
```

=====

DFT (PBE) results for a geometry-optimized Tb3Nd5Er2 structure.

## Properties
Spin magnetization (μB per formula unit): 0.00
Formation enthalpy at 0 K (kJ/mol of formula units): 358
Volume (Å³/cell): 712.8
SG: Ibam (72)
Density of states at the Fermi level (states/eV/cell): 30.3
Total energy (eV per atom): -4.3146

The structure in extended XYZ format:
```
20
Lattice="-4.723 6.859 5.501 4.723 -6.859 5.501 4.723 6.859 -5.501" Properties=species:S:1:pos:R:3 pbc="T T T"
Tb 7.055 1.676 0.000
Tb 0.000 0.000 2.751
Tb 2.332 5.183 0.000
Tb 2.391 1.676 5.501
Tb 0.000 0.000 8.252
Tb -2.332 5.183 5.501
Nd 4.723 3.474 -2.751
Nd 3.718 1.803 0.000
Nd 4.723 0.000 2.751
Nd 3.718 -1.803 5.501
Nd 0.000 3.385 2.751
Nd 4.723 3.474 2.751
Nd 1.005 8.662 0.000
Nd 0.000 6.859 2.751
Nd 1.005 5.055 5.501
Nd 0.000 3.385 8.252
Er 0.784 1.646 0.000
Er 5.507 5.212 0.000
Er -0.784 1.646 5.501
Er 3.938 5.212 5.501
```

=====

DFT (PBE) results for a geometry-optimized Tb2Nd7Er3 structure.

## Properties
Spin magnetization (μB per formula unit): 0.00
Formation enthalpy at 0 K (kJ/mol of formula units): 134
Volume (Å³/cell): 404.9
SG: Cmmm (65)
Density of states at the Fermi level (states/eV/cell): 19.5
Total energy (eV per atom): -4.5780

The structure in extended XYZ format:
```
12
Lattice="2.906 -19.135 0.000 2.906 19.135 0.000 0.000 0.000 3.641" Properties=species:S:1:pos:R:3 pbc="T T T"
Tb 2.906 13.428 0.000
Tb 2.906 -13.428 0.000
Nd 0.000 0.000 0.000
Nd 2.906 16.357 1.820
Nd 2.906 10.247 0.000
Nd 2.906 3.547 0.000
Nd 2.906 -3.547 0.000
Nd 2.906 -10.247 0.000
Nd 2.906 -16.357 1.820
Er 2.906 7.065 1.820
Er 2.906 0.000 1.820
Er 2.906 -7.065 1.820
```

=====

DFT (PBE) results for a geometry-optimized TbNd12Er5 structure.

## Properties
Spin magnetization (μB per formula unit): 0.00
Formation enthalpy at 0 K (kJ/mol of formula units): 38
Volume (Å³/cell): 607.8
SG: Cmmm (65)
Density of states at the Fermi level (states/eV/cell): 28.1
Total energy (eV per atom): -4.6816

The structure in extended XYZ format:
```
18
Lattice="7.667 -7.710 0.000 7.667 7.710 0.000 0.000 0.000 5.141" Properties=species:S:1:pos:R:3 pbc="T T T"
Tb 0.000 0.000 0.000
Nd 5.137 5.138 0.000
Nd 2.536 0.000 2.570
Nd 5.144 2.569 2.570
Nd 10.198 5.138 0.000
Nd 5.149 0.000 0.000
Nd 10.191 2.569 2.570
Nd 5.144 -2.569 2.570
Nd 10.186 0.000 0.000
Nd 5.137 -5.138 0.000
Nd 10.191 -2.569 2.570
Nd 12.799 0.000 2.570
Nd 10.198 -5.138 0.000
Er 7.667 5.137 2.570
Er 7.667 2.573 0.000
Er 7.667 0.000 2.570
Er 7.667 -2.573 0.000
Er 7.667 -5.137 2.570
```